# 1
Density functional theory data (GGA-PBE) for crystalline YSi3Ni at its relaxed geometry.

The value obtained for the uncorrected formation energy is -0.6884 eV/atom. Its density of states at the Fermi level is 3.4 states/eV/cell. For the total DFT energy (no corrections), the calculation gives -0.23488 Ha/atom.

It has space group P2/m (No. 10), with a = 3.930 Å, b = 3.976 Å, c = 10.709 Å, α = 90.00°, β = 100.55° and γ = 90.00°. The asymmetric unit holds Y at (0.169, 0.000, 0.338), Si at (0.056, 0.500, 0.112), Si at (0.282, 0.500, 0.565), Si at (0.441, 0.000, 0.888) and Ni at (0.391, 0.500, 0.780).

=====

# 2
Density functional theory data (GGA-PBE) for crystalline YSi3Ni5 at its relaxed geometry.

The value obtained for the uncorrected formation energy is -0.6756 eV/atom. Its density of states at the Fermi level is 18.8 states/eV/cell. Its energy above the most stable polymorph in this dataset is 0.36 eV per formula unit. For the total DFT energy (no corrections), the calculation gives -0.23569 Ha/atom.

It has space group Cmcm (No. 63), with a = 3.662 Å, b = 11.687 Å, c = 11.555 Å, α = 90.00°, β = 90.00° and γ = 90.00°. The asymmetric unit holds Y at (0.000, 0.159, 0.250), Si at (0.000, 0.114, 0.750), Si at (0.000, 0.383, 0.541), Ni at (0.000, 0.000, 0.000), Ni at (0.000, 0.197, 0.568) and Ni at (0.000, 0.449, 0.146).

=====

# 3
Density functional theory data (GGA-PBE) for crystalline Y3SiNi3 at its relaxed geometry.

The value obtained for the uncorrected formation energy is -0.5712 eV/atom. Its density of states at the Fermi level is 21.9 states/eV/cell. For the total DFT energy (no corrections), the calculation gives -0.24232 Ha/atom.

It has space group C2/m (No. 12), with a = 10.249 Å, b = 3.930 Å, c = 14.145 Å, α = 90.00°, β = 108.41° and γ = 90.00°. The asymmetric unit holds Y at (0.021, 0.000, 0.385), Y at (0.106, 0.000, 0.923), Y at (0.242, 0.000, 0.228), Si at (0.237, 0.500, 0.387), Ni at (0.042, 0.500, 0.234), Ni at (0.103, 0.500, 0.076) and Ni at (0.176, 0.500, 0.534).

=====

# 4
Density functional theory data (GGA-PBE) for crystalline Y3Si5Ni6 at its relaxed geometry.

The value obtained for the uncorrected formation energy is -0.7685 eV/atom. Its density of states at the Fermi level is 20.2 states/eV/cell. For the total DFT energy (no corrections), the calculation gives -0.24137 Ha/atom.

It has space group Pmmn (No. 59, origin choice 2), with a = 3.903 Å, b = 11.768 Å, c = 9.353 Å, α = 90.00°, β = 90.00° and γ = 90.00°. The asymmetric unit holds Y at (0.250, 0.087, 0.248), Y at (0.250, 0.750, 0.248), Si at (0.250, 0.080, 0.857), Si at (0.250, 0.634, 0.519), Si at (0.250, 0.750, 0.882), Ni at (0.250, 0.054, 0.593), Ni at (0.250, 0.250, 0.499), Ni at (0.250, 0.250, 0.988) and Ni at (0.250, 0.580, 0.007).